(1)
The following is a PBE calculation of a relaxed Ti9In2Ga crystal, from Alexandria via LeMat-Bulk.

Results
Its density of states at the Fermi level is 14.1 states/eV/f.u. For the energy of formation from the pure elements, the calculation gives -0.178 eV per atom. The size of the total moment is 0.00 μB per cell.

abc: 4.1185 4.1185 12.3313
angles: 90.00 90.00 90.00
With the nearest neighbours (Å) after each atom.
Space group P4/mmm (No. 123)
Unique sites:
Ti 0.0000 0.0000 0.0000  8 Ti 2.83, 4 Ga 2.91
Ti 0.0000 0.0000 0.3292  4 In 2.91, 8 Ti 2.95
Ti 0.0000 0.5000 0.1577  8 Ti 2.83-2.95, 2 Ga 2.83, 2 In 2.95
Ti 0.0000 0.5000 0.5000  8 Ti 2.91-2.95, 4 In 2.94
In 0.5000 0.5000 0.3295  12 Ti 2.91-2.95
Ga 0.5000 0.5000 0.0000  12 Ti 2.83-2.91



(2)
The following is a PBE calculation of a relaxed Ti2In2Ga crystal, from Alexandria via LeMat-Bulk.

Results
Its density of states at the Fermi level is 3.6 states/eV/f.u. For the energy of formation from the pure elements, the calculation gives 0.132 eV per atom. As for the polymorph energy (0 for the lowest one): 237 meV/atom. The size of the total moment is 0.00 μB per cell.

abc: 7.0378 7.0378 4.0330
angles: 90.00 90.00 90.00
With the nearest neighbours (Å) after each atom.
Space group P4/mbm (No. 127)
Unique sites:
Ti 0.1679 0.3321 0.0000  6 In 2.79-2.96
In 0.1379 0.6379 0.5000  2 Ga 2.73, 1 In 2.74, 6 Ti 2.79-2.96
Ga 0.0000 0.0000 0.5000  4 In 2.73



(3)
The following is a PBE calculation of a relaxed TiInGa2 crystal, from Alexandria via LeMat-Bulk.

Results
Its density of states at the Fermi level is 4.6 states/eV/f.u. For the energy of formation from the pure elements, the calculation gives 0.427 eV per atom. The size of the total moment is 5.04 μB per cell.

abc: 4.5467 4.5467 18.3021
angles: 90.00 90.00 120.00
With the nearest neighbours (Å) after each atom.
Space group R-3m (No. 166, hexagonal axes)
Unique sites:
Ti 0.0000 0.0000 0.0000  6 Ga 2.65
In 0.0000 0.0000 0.5000  2 Ga 2.67
Ga 0.0000 0.0000 0.3542  3 Ti 2.65, 1 In 2.67, 3 Ga 2.73



(4)
The following is a PBE calculation of a relaxed TiInGa2 crystal, from Alexandria via LeMat-Bulk.

Results
Its density of states at the Fermi level is 3.8 states/eV/f.u. For the energy of formation from the pure elements, the calculation gives 0.122 eV per atom. The size of the total moment is 0.00 μB per cell.

abc: 7.4429 7.4429 5.7621
angles: 90.00 90.00 90.00
With the nearest neighbours (Å) after each atom.
Space group I-42d (No. 122)
Unique sites:
Ti 0.0000 0.0000 0.0000  4 Ga 2.69, 2 In 2.88
In 0.0000 0.0000 0.5000  4 Ga 2.76, 2 Ti 2.88
Ga 0.2433 0.7500 0.1250  2 Ti 2.69, 2 In 2.76, 2 Ga 2.88



(5)
The following is a PBE calculation of a relaxed TiIn2Ga2 crystal, from Alexandria via LeMat-Bulk.

Results
Its density of states at the Fermi level is 3.0 states/eV/f.u. For the energy of formation from the pure elements, the calculation gives 0.057 eV per atom. The size of the total moment is 0.00 μB per cell.

abc: 7.1108 7.1108 4.0480
angles: 90.00 90.00 90.00
With the nearest neighbours (Å) after each atom.
Space group P4/mbm (No. 127)
Unique sites:
Ti 0.0000 0.0000 0.0000  4 Ga 2.77
In 0.1717 0.3283 0.5000  6 Ga 2.81-2.98
Ga 0.1346 0.6346 0.0000  1 Ga 2.71, 2 Ti 2.77, 6 In 2.81-2.98



(6)
The following is a PBE calculation of a relaxed TmTiInGa crystal, from Alexandria via LeMat-Bulk.

Results
Its density of states at the Fermi level is 4.5 states/eV/f.u. For the energy of formation from the pure elements, the calculation gives -0.232 eV per atom. The size of the total moment is 4.78 μB per cell.

abc: 6.9407 6.9407 6.9407
angles: 90.00 90.00 90.00
With the nearest neighbours (Å) after each atom.
Space group F-43m (No. 216)
Unique sites:
Tm 0.0000 0.0000 0.0000  4 In 3.01, 4 Ga 3.01
Ti 0.0000 0.0000 0.5000  4 In 3.01, 4 Ga 3.01
In 0.2500 0.2500 0.2500  4 Tm 3.01, 4 Ti 3.01
Ga 0.2500 0.2500 0.7500  4 Tm 3.01, 4 Ti 3.01



(7)
The following is a PBE calculation of a relaxed TiZnInGa crystal, from Alexandria via LeMat-Bulk.

Results
Its density of states at the Fermi level is 1.3 states/eV/f.u. For the energy of formation from the pure elements, the calculation gives -0.202 eV per atom. The size of the total moment is 0.00 μB per cell.

abc: 4.0314 4.0647 4.1957
angles: 90.00 90.00 90.00
With the nearest neighbours (Å) after each atom.
Space group Pmmm (No. 47)
Unique sites:
Ti 0.0000 0.0000 0.0000  4 Ga 2.86, 4 In 2.91, 4 Zn 2.92
Zn 0.0000 0.5000 0.5000  4 In 2.86, 4 Ga 2.91, 4 Ti 2.92
In 0.5000 0.0000 0.5000  4 Zn 2.86, 4 Ti 2.91, 4 Ga 2.92
Ga 0.5000 0.5000 0.0000  4 Ti 2.86, 4 Zn 2.91, 4 In 2.92



(8)
The following is a PBE calculation of a relaxed Tl2InGa crystal, from Alexandria via LeMat-Bulk.

Results
Its density of states at the Fermi level is 1.3 states/eV/f.u. For the energy of formation from the pure elements, the calculation gives 0.097 eV per atom. As for the polymorph energy (0 for the lowest one): 32 meV/atom. The size of the total moment is 0.00 μB per cell.

abc: 7.5898 7.5898 7.5898
angles: 90.00 90.00 90.00
With the nearest neighbours (Å) after each atom.
Space group Fm-3m (No. 225)
Unique sites:
Tl 0.2500 0.2500 0.2500  4 In 3.29, 4 Ga 3.29
In 0.0000 0.0000 0.0000  8 Tl 3.29
Ga 0.0000 0.0000 0.5000  8 Tl 3.29